PBE HfINO2, relaxed; M_tot = 1.186 μB per formula unit; formation energy without anion corrections = 700 meV/atom
1.0
4.0381 0.0000 0.0000
0.0000 4.0381 0.0000
0.0000 0.0000 4.6147
O Hf N I
2 1 1 1
Direct
0.5000 0.0000 0.0000
0.0000 0.5000 0.0000
0.5000 0.5000 0.5000
0.0000 0.0000 0.5000
0.0000 0.0000 0.0000



PBE HfI2NO, relaxed; M_tot = 0.000 μB per formula unit; energy above the lowest structure with this stoichiometry = 1231 meV/atom; formation energy without anion corrections = 991 meV/atom
1.0
4.9283 0.0000 0.0000
0.0000 4.9283 0.0000
0.0000 0.0000 3.7264
I O Hf N
2 1 1 1
Direct
0.5000 0.0000 0.0000
0.0000 0.5000 0.0000
0.0000 0.0000 0.5000
0.5000 0.5000 0.5000
0.0000 0.0000 0.0000



PBE HfIN2O, relaxed; M_tot = 0.000 μB per formula unit; formation energy without anion corrections = 757 meV/atom
1.0
3.9797 0.0000 0.0000
0.0000 3.9797 0.0000
0.0000 0.0000 6.3242
N O Hf I
2 1 1 1
Direct
0.5000 0.0000 0.0000
0.0000 0.5000 0.0000
0.5000 0.5000 0.5000
0.0000 0.0000 0.0000
0.0000 0.0000 0.5000



PBE HfINO2, relaxed; M_tot = 0.539 μB per formula unit; formation energy without anion corrections = 796 meV/atom
1.0
4.1312 0.0000 0.0000
0.0000 4.1312 0.0000
0.0000 0.0000 4.0201
I Hf N O
1 1 1 2
Direct
0.0000 0.0000 0.5000
0.5000 0.5000 0.5000
0.0000 0.0000 0.0000
0.0000 0.5000 0.0000
0.5000 0.0000 0.0000



PBE HfI2NO, relaxed; M_tot = 3.007 μB per formula unit; energy above the lowest structure with this stoichiometry = 0 meV/atom; formation energy without anion corrections = -240 meV/atom
1.0
-0.8642 -0.3094 5.7577
-5.4097 -1.9713 -0.9179
1.3600 -3.7337 0.0035
I N Hf O
2 1 1 1
Direct
0.5000 0.0000 0.0000
0.0000 0.5000 0.0000
0.5000 0.5000 0.5000
0.0000 0.0000 0.0000
0.0000 0.0000 0.5000



PBE HfIN2O, relaxed; M_tot = 0.645 μB per formula unit; formation energy without anion corrections = 1117 meV/atom
1.0
4.1849 0.0000 0.0000
0.0000 4.1849 0.0000
0.0000 0.0000 3.9921
O N Hf I
1 2 1 1
Direct
0.0000 0.0000 0.5000
0.5000 0.0000 0.0000
0.0000 0.5000 0.0000
0.5000 0.5000 0.5000
0.0000 0.0000 0.0000



PBE HfI2NO, relaxed; M_tot = 2.709 μB per formula unit; energy above the lowest structure with this stoichiometry = 543 meV/atom; formation energy without anion corrections = 302 meV/atom
1.0
-0.2704 -2.2735 -5.3207
5.4831 1.6004 -0.9625
1.2803 -3.5208 1.4393
O I Hf N
1 2 1 1
Direct
0.5000 0.5000 0.5000
0.5000 0.0000 0.0000
0.0000 0.5000 0.0000
0.0000 0.0000 0.0000
0.0000 0.0000 0.5000



PBE HfOsI2N, relaxed; M_tot = 3.640 μB per formula unit; energy above the lowest structure with this stoichiometry = 308 meV/atom; formation energy without anion corrections = 1054 meV/atom
1.0
5.8375 0.0000 0.0000
0.0000 5.8375 0.0000
0.0000 0.0000 3.9300
I N Os Hf
2 1 1 1
Direct
0.0000 0.5000 0.0000
0.5000 0.0000 0.0000
0.0000 0.0000 0.5000
0.5000 0.5000 0.5000
0.0000 0.0000 0.0000



PBE HfOsIN2, relaxed; M_tot = 3.528 μB per formula unit; energy above the lowest structure with this stoichiometry = 145 meV/atom; formation energy without anion corrections = 1293 meV/atom
1.0
-0.6372 -2.4202 -3.2309
3.8382 -1.3767 0.2743
-1.8374 -4.3946 3.6543
Os Hf I N
1 1 1 2
Direct
0.5000 0.5000 0.5000
0.0000 0.0000 0.0000
0.0000 0.0000 0.5000
0.0000 0.5000 0.0000
0.5000 0.0000 0.0000



PBE HfOsI2N, relaxed; M_tot = 0.003 μB per formula unit; energy above the lowest structure with this stoichiometry = 0 meV/atom; formation energy without anion corrections = 745 meV/atom
1.0
-3.3895 1.0048 -4.2926
-2.1208 -5.1185 0.4766
-2.5705 1.2820 2.3297
Hf I N Os
1 2 1 1
Direct
0.5000 0.5000 0.5000
0.0000 0.5000 0.0000
0.5000 0.0000 0.0000
0.0000 0.0000 0.5000
0.0000 0.0000 0.0000



PBE HfOsIN2, relaxed; M_tot = 0.465 μB per formula unit; energy above the lowest structure with this stoichiometry = 0 meV/atom; formation energy without anion corrections = 1148 meV/atom
1.0
-3.8374 -0.2216 0.8341
-0.2890 -3.2521 -2.1934
1.1628 -3.1478 4.5138
Os Hf I N
1 1 1 2
Direct
0.0000 0.0000 0.0000
0.5000 0.5000 0.5000
0.0000 0.0000 0.5000
0.5000 0.0000 0.0000
0.0000 0.5000 0.0000



PBE HfPbIN2, relaxed; M_tot = 0.868 μB per formula unit; energy above the lowest structure with this stoichiometry = 0 meV/atom; formation energy without anion corrections = 309 meV/atom
1.0
4.4626 0.0000 0.0000
0.0000 4.4626 0.0000
0.0000 0.0000 5.7281
Hf Pb N I
1 1 2 1
Direct
0.0000 0.0000 0.0000
0.5000 0.5000 0.5000
0.0000 0.5000 0.0000
0.5000 0.0000 0.0000
0.0000 0.0000 0.5000



PBE HfPbIN2, relaxed; M_tot = 0.204 μB per formula unit; energy above the lowest structure with this stoichiometry = 1509 meV/atom; formation energy without anion corrections = 1818 meV/atom
1.0
4.3762 0.0000 0.0000
0.0000 4.3762 0.0000
0.0000 0.0000 5.9268
I N Hf Pb
1 2 1 1
Direct
0.0000 0.0000 0.5000
0.5000 0.0000 0.0000
0.0000 0.5000 0.0000
0.5000 0.5000 0.5000
0.0000 0.0000 0.0000



PBE HfPdIN2, relaxed; M_tot = 0.004 μB per formula unit; energy above the lowest structure with this stoichiometry = 1108 meV/atom; formation energy without anion corrections = 1536 meV/atom
1.0
4.1411 0.0000 0.0000
0.0000 4.1411 0.0000
0.0000 0.0000 5.0554
N Pd Hf I
2 1 1 1
Direct
0.0000 0.5000 0.0000
0.5000 0.0000 0.0000
0.0000 0.0000 0.0000
0.5000 0.5000 0.5000
0.0000 0.0000 0.5000



PBE HfPdI2N, relaxed; M_tot = 0.725 μB per formula unit; energy above the lowest structure with this stoichiometry = 0 meV/atom; formation energy without anion corrections = 106 meV/atom
1.0
-1.1836 -4.6166 3.3587
5.4659 0.0742 2.0281
-1.1152 2.4085 2.9175
Pd Hf I N
1 1 2 1
Direct
0.5000 0.5000 0.5000
0.0000 0.0000 0.0000
0.0000 0.5000 0.0000
0.5000 0.0000 0.0000
0.0000 0.0000 0.5000



PBE HfPdIN2, relaxed; M_tot = 0.003 μB per formula unit; energy above the lowest structure with this stoichiometry = 0 meV/atom; formation energy without anion corrections = 429 meV/atom
1.0
-1.4609 -2.4127 2.9272
-2.2344 -1.9876 -2.7533
4.7525 -4.0286 -0.9486
I N Hf Pd
1 2 1 1
Direct
0.0000 0.0000 0.5000
0.0000 0.5000 0.0000
0.5000 0.0000 0.0000
0.0000 0.0000 0.0000
0.5000 0.5000 0.5000



PBE HfPdI2N, relaxed; M_tot = 1.108 μB per formula unit; energy above the lowest structure with this stoichiometry = 754 meV/atom; formation energy without anion corrections = 860 meV/atom
1.0
5.7644 0.0000 0.0000
0.0000 5.7644 0.0000
0.0000 0.0000 3.6932
N Pd Hf I
1 1 1 2
Direct
0.0000 0.0000 0.5000
0.0000 0.0000 0.0000
0.5000 0.5000 0.5000
0.0000 0.5000 0.0000
0.5000 0.0000 0.0000



PBE HfPtI2N, relaxed; M_tot = 1.317 μB per formula unit; energy above the lowest structure with this stoichiometry = 351 meV/atom; formation energy without anion corrections = 756 meV/atom
1.0
5.8137 0.0000 0.0000
0.0000 5.8137 0.0000
0.0000 0.0000 3.6755
N I Hf Pt
1 2 1 1
Direct
0.0000 0.0000 0.5000
0.5000 0.0000 0.0000
0.0000 0.5000 0.0000
0.5000 0.5000 0.5000
0.0000 0.0000 0.0000



PBE HfPtIN2, relaxed; M_tot = 0.000 μB per formula unit; energy above the lowest structure with this stoichiometry = 847 meV/atom; formation energy without anion corrections = 1479 meV/atom
1.0
-1.6245 3.1970 -1.5695
-2.7386 -2.2242 -1.6961
-3.7647 0.6517 5.2240
I Hf N Pt
1 1 2 1
Direct
0.0000 0.0000 0.5000
0.5000 0.5000 0.5000
0.0000 0.5000 0.0000
0.5000 0.0000 0.0000
0.0000 0.0000 0.0000



PBE HfPtI2N, relaxed; M_tot = 0.738 μB per formula unit; energy above the lowest structure with this stoichiometry = 0 meV/atom; formation energy without anion corrections = 405 meV/atom
1.0
-1.7513 4.8755 2.5696
-4.0230 -2.9737 2.9005
2.5474 -0.6149 2.9028
I N Pt Hf
2 1 1 1
Direct
0.0000 0.5000 0.0000
0.5000 0.0000 0.0000
0.0000 0.0000 0.5000
0.5000 0.5000 0.5000
0.0000 0.0000 0.0000



PBE HfPtIN2, relaxed; M_tot = 0.000 μB per formula unit; energy above the lowest structure with this stoichiometry = 0 meV/atom; formation energy without anion corrections = 632 meV/atom
1.0
4.0375 0.0000 0.0000
0.0000 4.0375 0.0000
0.0000 0.0000 6.3825
N Hf I Pt
2 1 1 1
Direct
0.0000 0.5000 0.0000
0.5000 0.0000 0.0000
0.0000 0.0000 0.0000
0.0000 0.0000 0.5000
0.5000 0.5000 0.5000



PBE RbHfI2N, relaxed; M_tot = 0.055 μB per formula unit; energy above the lowest structure with this stoichiometry = 0 meV/atom; formation energy without anion corrections = -744 meV/atom
1.0
-2.0043 4.2997 3.8447
-1.1319 -4.2842 4.2012
3.7798 0.4453 1.4724
I N Hf Rb
2 1 1 1
Direct
0.0000 0.5000 0.0000
0.5000 0.0000 0.0000
0.0000 0.0000 0.5000
0.0000 0.0000 0.0000
0.5000 0.5000 0.5000



PBE RbHfI2N, relaxed; M_tot = 0.563 μB per formula unit; energy above the lowest structure with this stoichiometry = 2345 meV/atom; formation energy without anion corrections = 1601 meV/atom
1.0
6.2661 0.0000 0.0000
0.0000 6.2661 0.0000
0.0000 0.0000 4.2701
I Rb N Hf
2 1 1 1
Direct
0.0000 0.5000 0.0000
0.5000 0.0000 0.0000
0.0000 0.0000 0.0000
0.0000 0.0000 0.5000
0.5000 0.5000 0.5000



PBE HfReIN2, relaxed; M_tot = 0.000 μB per formula unit; energy above the lowest structure with this stoichiometry = 0 meV/atom; formation energy without anion corrections = 968 meV/atom
1.0
-0.2749 -0.3830 -3.9487
-1.1642 -3.7761 0.4473
-5.2019 1.6281 0.2043
Re Hf I N
1 1 1 2
Direct
0.0000 0.0000 0.0000
0.5000 0.5000 0.5000
0.0000 0.0000 0.5000
0.5000 0.0000 0.0000
0.0000 0.5000 0.0000



PBE HfReIN2, relaxed; M_tot = 3.451 μB per formula unit; energy above the lowest structure with this stoichiometry = 323 meV/atom; formation energy without anion corrections = 1291 meV/atom
1.0
-0.9391 -0.3881 -4.0005
0.1613 -4.1086 0.3608
-5.8263 -0.1077 1.3781
N Hf Re I
2 1 1 1
Direct
0.5000 0.0000 0.0000
0.0000 0.5000 0.0000
0.0000 0.0000 0.0000
0.5000 0.5000 0.5000
0.0000 0.0000 0.5000



PBE HfRhI2N, relaxed; M_tot = 1.726 μB per formula unit; energy above the lowest structure with this stoichiometry = 0 meV/atom; formation energy without anion corrections = 384 meV/atom
1.0
-2.8325 4.8955 -1.3393
-5.0204 -2.4773 1.5624
0.5044 1.2986 3.6798
Hf N I Rh
1 1 2 1
Direct
0.0000 0.0000 0.0000
0.0000 0.0000 0.5000
0.0000 0.5000 0.0000
0.5000 0.0000 0.0000
0.5000 0.5000 0.5000



PBE HfRhIN2, relaxed; M_tot = 0.282 μB per formula unit; energy above the lowest structure with this stoichiometry = 680 meV/atom; formation energy without anion corrections = 1351 meV/atom
1.0
-1.7168 -3.3319 -1.5477
2.4825 -2.3115 2.2223
-3.4338 -0.0084 3.8270
Rh Hf N I
1 1 2 1
Direct
0.0000 0.0000 0.0000
0.5000 0.5000 0.5000
0.0000 0.5000 0.0000
0.5000 0.0000 0.0000
0.0000 0.0000 0.5000



PBE HfRhIN2, relaxed; M_tot = 1.079 μB per formula unit; energy above the lowest structure with this stoichiometry = 0 meV/atom; formation energy without anion corrections = 670 meV/atom
1.0
-2.4931 2.9569 -1.2416
-3.1612 -2.0012 1.5819
0.8213 2.9468 5.3690
Hf N Rh I
1 2 1 1
Direct
0.0000 0.0000 0.0000
0.0000 0.5000 0.0000
0.5000 0.0000 0.0000
0.5000 0.5000 0.5000
0.0000 0.0000 0.5000



PBE HfRhI2N, relaxed; M_tot = 0.711 μB per formula unit; energy above the lowest structure with this stoichiometry = 258 meV/atom; formation energy without anion corrections = 642 meV/atom
1.0
5.6186 0.0000 0.0000
0.0000 5.6186 0.0000
0.0000 0.0000 3.6663
I Rh N Hf
2 1 1 1
Direct
0.5000 0.0000 0.0000
0.0000 0.5000 0.0000
0.0000 0.0000 0.0000
0.0000 0.0000 0.5000
0.5000 0.5000 0.5000